DFT (PBE+U) results for a relaxed structure of Li2FeO3.

The structure in POSCAR format:
```
Li2FeO3
1.0
2.4774 -4.3304 0.0000
2.4774 4.3304 0.0000
-1.6289 0.0000 4.7758
Li Fe O
4 2 6
Cartesian
0.0000 0.0000 0.0000 Li
1.6629 2.9272 2.3879 Li
1.6629 0.0000 2.3879 Li
1.6629 -2.9272 2.3879 Li
2.4774 1.4288 0.0000 Fe
2.4774 -1.4288 0.0000 Fe
0.9191 1.5410 1.0647 O
0.1335 0.0000 3.6913 O
0.9191 -1.5410 1.0647 O
2.4068 1.5410 3.7111 O
3.1924 0.0000 1.0845 O
2.4068 -1.5410 3.7111 O
```

Summary:
- total magnetization (μB per formula unit) = 2.0
- E_tot (eV per atom) = -5.600
- crystal system = monoclinic